This record from Alexandria describes crystalline KNpZn2F8 at its relaxed geometry. The functional is PBE.

Cell: 5.4929 5.4929 23.2551 Å, 90.00 90.00 120.00°
Space group R-3 (No. 148, hexagonal axes)
Symmetry-distinct sites (fractional):
K 0.0000 0.0000 0.0000 x3
Np 0.0000 0.0000 0.5000 x3
Zn 0.0000 0.0000 0.2593 x6
F 0.0000 0.0000 0.3393 x6
F 0.0062 0.6594 0.4427 x18

As for the uncorrected formation energy: -2.675 eV per atom. Its electronic total energy is -5.305 eV/atom. The value obtained for the magnetization is 3.98 μB per formula unit.